# La3CoTc (PBE, relaxed)
data_La3CoTc
_chemical_formula_sum 'La3 Co1 Tc1'
_symmetry_space_group_name_H-M 'P 1'
_symmetry_Int_Tables_number 1
_symmetry_space_group_name_Hall 'P 1'
_cell_length_a 5.378
_cell_length_b 5.378
_cell_length_c 5.378
_cell_angle_alpha 90.00
_cell_angle_beta 90.00
_cell_angle_gamma 90.00
loop_
_atom_site_label
_atom_site_type_symbol
_atom_site_fract_x
_atom_site_fract_y
_atom_site_fract_z
_atom_site_occupancy
La1 La 0.000 0.000 0.500 1
La2 La 0.000 0.500 0.000 1
La3 La 0.500 0.000 0.000 1
Co1 Co 0.500 0.500 0.500 1
Tc1 Tc 0.000 0.000 0.000 1
# energy of formation from the pure elements: 0.50 eV/atom
# D(E_F): 1.262 states/eV/atom
# spin magnetization: 0.00 μB/cell
# ρ: 6.12 g/cm³